This record from Alexandria describes a relaxed structure of TiPdRu2. The functional is PBE-GGA.

Cell: 3.766 3.766 18.080 Å, 90.00 90.00 90.00°
Space group I-42d (No. 122)
Symmetry-distinct sites (fractional):
Ti: 0.000 0.000 0.000 x4
Pd: 0.000 0.000 0.500 x4
Ru: 0.218 0.250 0.125 x8

Output
ΔE_f: 88 kJ/mol of formula units
M_tot: 0.00 μB/atom
total energy: -122.910 eV for the cell shown

=====

This record from Alexandria describes a relaxed structure of SmPa2TaC4. The functional is PBE-GGA.

Cell: 6.954 7.042 9.952 Å, 90.00 90.00 90.00°
Space group Imma (No. 74)
Symmetry-distinct sites (fractional):
Sm: 0.000 0.000 0.000 x4
Pa: 0.000 0.000 0.500 x4
Pa: 0.250 0.250 0.250 x4
Ta: 0.250 0.250 0.750 x4
C: 0.000 0.018 0.746 x8
C: 0.234 0.250 0.514 x8

Output
ΔE_f: -272 kJ/mol of formula units
M_tot: 0.00 μB/atom
total energy: -301.132 eV for the cell shown

=====

This record from Alexandria describes a relaxed structure of TbPm8Nd5. The functional is PBE-GGA.

Cell: 9.785 9.785 10.304 Å, 90.00 90.00 90.00°
Space group I-4 (No. 82)
Symmetry-distinct sites (fractional):
Tb: 0.000 0.000 0.000 x2
Pm: 0.070 0.826 0.347 x8
Pm: 0.083 0.682 0.004 x8
Nd: 0.000 0.500 0.250 x2
Nd: 0.107 0.710 0.674 x8

Output
ΔE_f: 317 kJ/mol of formula units
M_tot: 0.00 μB/atom
total energy: -126.388 eV for the cell shown

=====

This record from Alexandria describes a relaxed structure of MgTc4P. The functional is PBE-GGA.

Cell: 7.297 7.297 7.297 Å, 90.00 90.00 90.00°
Space group F-43m (No. 216)
Symmetry-distinct sites (fractional):
Mg: 0.000 0.000 0.000 x4
Tc: 0.124 0.124 0.624 x16
P: 0.250 0.250 0.250 x4

Output
ΔE_f: 277 kJ/mol of formula units
M_tot: 0.00 μB/atom
total energy: -182.408 eV for the cell shown

=====

This record from Alexandria describes a relaxed structure of MnPSe2. The functional is PBE-GGA.

Cell: 3.6977 3.6977 7.3002 Å, 90.00 90.00 120.00°
Space group P3m1 (No. 156)
Symmetry-distinct sites (fractional):
Mn: 0.0000 0.0000 0.0000 x1
P: 0.3333 0.6667 0.9375 x1
Se: 0.0000 0.0000 0.6835 x1
Se: 0.6667 0.3333 0.1963 x1

Output
M_tot: 0.09 μB/atom
total energy: -21.806 eV for the cell shown
formation energy (no corrections): -0.06 eV per atom

=====

This record from Alexandria describes a relaxed structure of Ac3GaIr. The functional is PBE-GGA.

Cell: 10.048 7.227 10.541 Å, 90.00 114.51 90.00°
Space group P2_1/c (No. 14)
Symmetry-distinct sites (fractional):
Ac: 0.110 0.065 0.371 x4
Ac: 0.203 0.584 0.555 x4
Ac: 0.381 0.081 0.778 x4
Ga: 0.443 0.658 0.932 x4
Ir: 0.086 0.242 0.618 x4

Output
ΔE_f: -230 kJ/mol of formula units
M_tot: 0.00 μB/atom
total energy: -106.383 eV for the cell shown

=====

This record from Alexandria describes a relaxed structure of YPaCr. The functional is PBE-GGA.

Cell: 3.504 3.504 24.098 Å, 90.00 90.00 90.00°
Space group I4/mmm (No. 139)
Symmetry-distinct sites (fractional):
Y: 0.000 0.000 0.074 x4
Pa: 0.000 0.000 0.328 x4
Cr: 0.000 0.000 0.232 x4

Output
ΔE_f: 97 kJ/mol of formula units
M_tot: 0.00 μB/atom
total energy: -98.298 eV for the cell shown

=====

This record from Alexandria describes a relaxed structure of La2InSi. The functional is PBE-GGA.

Cell: 3.942 3.956 7.116 Å, 90.00 90.00 90.00°
Space group Pmmm (No. 47)
Symmetry-distinct sites (fractional):
La: 0.000 0.000 0.216 x2
In: 0.500 0.500 0.500 x1
Si: 0.500 0.500 0.000 x1

Output
M_tot: 0.00 μB/atom
total energy: -20.136 eV for the cell shown
formation energy (no corrections): -0.53 eV per atom